(1)
PmBeAs2 | PBE | relaxed

Results
- distance to the lowest polymorph of the same formula (meV/atom) = 14
- mass density (g/cm³) = 6.5
- total magnetic moment (μB/cell) = 0.000
- calculated volume (Å³ per atom) = 19.30
- Fermi-level density of states (states/eV per atom) = 0.1680
- DFT total energy (eV per atom) = -5.14

Structure (POSCAR):
```
PmBeAs2
1.0
-1.573 -3.158 -1.819
3.639 -1.249 -0.979
-0.524 -2.871 9.767
As Be Pm
4 2 2
Cartesian
0.322 -3.204 5.279
1.220 -4.075 1.689
2.327 -5.698 7.879
-0.277 -6.652 7.459
-0.533 -4.118 3.273
2.076 -3.162 3.694
1.425 -6.106 5.034
0.117 -1.172 1.935
```

=====

(2)
NiB3Mo3 | PBE | relaxed

Results
- mass density (g/cm³) = 8.6
- total magnetic moment (μB/cell) = 0.000
- calculated volume (Å³ per atom) = 10.43
- Fermi-level density of states (states/eV per atom) = 0.3516
- DFT total energy (eV per atom) = -8.82

Structure (POSCAR):
```
NiB3Mo3
1.0
1.596 -4.237 0.000
1.596 4.237 0.000
0.000 0.000 10.798
B Ni Mo
6 2 6
Cartesian
1.596 2.488 2.700
1.596 3.485 4.275
1.596 -3.485 9.674
1.596 3.485 1.124
1.596 -3.485 6.523
1.596 -2.488 8.099
1.596 0.000 0.000
1.596 0.000 5.399
1.596 -2.428 4.226
1.596 -2.428 1.173
1.596 2.428 6.572
1.596 0.006 8.099
1.596 2.428 9.625
1.596 -0.006 2.700
```

=====

(3)
Tb5SmTh4 | PBE | relaxed

Results
- mass density (g/cm³) = 9.5
- total magnetic moment (μB/cell) = 0.000
- calculated volume (Å³ per atom) = 32.66
- Fermi-level density of states (states/eV per atom) = 1.6884
- DFT total energy (eV per atom) = -5.65

Structure (POSCAR):
```
Tb5SmTh4
1.0
3.404 0.000 -0.793
-1.503 9.577 -6.452
0.916 -2.581 11.637
Th Sm Tb
4 1 5
Cartesian
1.956 -1.132 8.397
-0.112 3.252 -0.481
0.861 8.129 -4.005
2.929 3.745 4.874
1.702 0.000 -0.396
0.643 1.857 2.759
0.951 4.789 -3.622
2.175 5.140 1.634
3.012 0.316 5.228
-0.195 6.680 -0.836
```

=====

(4)
Ti2Pd4Pt | PBE | relaxed

Results
- distance to the lowest polymorph of the same formula (meV/atom) = 0
- mass density (g/cm³) = 11.1
- total magnetic moment (μB/cell) = 0.000
- calculated volume (Å³ per atom) = 15.35
- Fermi-level density of states (states/eV per atom) = 0.6275
- DFT total energy (eV per atom) = -6.75

Structure (POSCAR):
```
Ti2Pd4Pt
1.0
-2.509 -2.706 -3.213
1.273 -3.220 -3.457
-0.473 -5.169 3.555
Pt Pd Ti
1 4 2
Cartesian
0.000 0.000 0.000
-1.291 -8.672 -1.745
-1.270 -7.326 -4.249
-0.418 -2.423 -1.371
-0.439 -3.769 1.133
-0.869 -6.283 -0.245
-0.839 -4.812 -2.871
```

=====

(5)
ZnReW3 | PBE | relaxed

Results
- distance to the lowest polymorph of the same formula (meV/atom) = 0
- mass density (g/cm³) = 12.3
- total magnetic moment (μB/cell) = 0.000
- calculated volume (Å³ per atom) = 21.66
- Fermi-level density of states (states/eV per atom) = 1.1203
- DFT total energy (eV per atom) = -8.47

Structure (POSCAR):
```
ZnReW3
1.0
-0.108 -1.980 4.335
-3.717 -2.679 -1.316
2.983 -3.410 -1.483
W Zn Re
3 1 1
Cartesian
1.491 -1.705 -0.742
-0.054 -0.990 2.167
-1.858 -1.340 -0.658
-0.421 -4.034 0.768
0.000 0.000 0.000
```

=====

(6)
RhWS3 | PBE | relaxed

Results
- distance to the lowest polymorph of the same formula (meV/atom) = 0
- mass density (g/cm³) = 6.3
- total magnetic moment (μB/cell) = 1.770
- calculated volume (Å³ per atom) = 20.12
- Fermi-level density of states (states/eV per atom) = 1.1301
- formation energy from raw total energies (kJ/mol of formula units) = 285
- DFT total energy (eV per atom) = -5.95

Structure (POSCAR):
```
RhWS3
1.0
4.651 0.000 0.000
0.000 4.651 0.000
0.000 0.000 4.651
S W Rh
3 1 1
Cartesian
0.000 0.000 2.325
2.325 0.000 0.000
0.000 2.325 0.000
0.000 0.000 0.000
2.325 2.325 2.325
```

=====

(7)
LiCa4Zn2 | PBE | relaxed

Results
- distance to the lowest polymorph of the same formula (meV/atom) = 55
- mass density (g/cm³) = 2.3
- total magnetic moment (μB/cell) = 0.000
- calculated volume (Å³ per atom) = 31.03
- Fermi-level density of states (states/eV per atom) = 1.0763
- DFT total energy (eV per atom) = -1.82

Structure (POSCAR):
```
LiCa4Zn2
1.0
5.245 0.000 0.000
2.623 4.543 0.000
2.623 1.514 9.116
Zn Ca Li
2 4 1
Cartesian
5.245 3.028 2.039
5.245 3.028 7.077
7.868 4.543 7.987
2.623 1.514 1.129
7.868 4.543 3.282
2.623 1.514 5.835
5.245 3.028 4.558
```

=====

(8)
PPb2Se | PBE | relaxed

Results
- distance to the lowest polymorph of the same formula (meV/atom) = 157
- mass density (g/cm³) = 6.8
- total magnetic moment (μB/cell) = 0.000
- calculated volume (Å³ per atom) = 32.18
- Fermi-level density of states (states/eV per atom) = 0.5280
- formation energy from raw total energies (kJ/mol of formula units) = 7
- DFT total energy (eV per atom) = -4.06

Structure (POSCAR):
```
PPb2Se
1.0
7.350 0.000 0.000
0.000 7.350 0.000
3.675 3.675 4.765
Se P Pb
2 2 4
Cartesian
7.350 3.675 2.382
0.000 0.000 0.000
3.675 3.675 0.000
3.675 7.350 2.382
5.513 5.662 3.574
1.987 5.513 1.191
5.363 1.838 1.191
9.188 9.038 3.574
```

=====

(9)
CaTb2YSe4 | PBE | relaxed

Results
- mass density (g/cm³) = 6.4
- total magnetic moment (μB/cell) = 0.000
- calculated volume (Å³ per atom) = 24.60
- Fermi-level density of states (states/eV per atom) = 0.3525
- formation energy from raw total energies (kJ/mol of formula units) = -1407
- DFT total energy (eV per atom) = -5.78

Structure (POSCAR):
```
CaTb2YSe4
1.0
-1.425 2.567 2.856
1.206 -4.919 5.023
6.608 0.832 2.548
Y Se Tb Ca
1 4 2 1
Cartesian
-0.109 -1.176 3.939
0.529 1.541 4.753
4.552 0.682 4.595
1.838 -2.202 5.833
5.860 -3.061 5.674
2.592 1.700 2.702
6.608 0.832 2.548
3.907 -2.043 3.786
```

=====

(10)
KTcGe2Cl | PBE | relaxed

Results
- mass density (g/cm³) = 4.2
- total magnetic moment (μB/cell) = 0.826
- calculated volume (Å³ per atom) = 25.05
- Fermi-level density of states (states/eV per atom) = 0.6181
- formation energy from raw total energies (kJ/mol of formula units) = 451
- DFT total energy (eV per atom) = -3.58

Structure (POSCAR):
```
KTcGe2Cl
1.0
-0.436 -5.171 1.262
1.539 -1.098 -3.964
4.982 0.049 1.922
Ge Cl K Tc
2 1 1 1
Cartesian
2.491 0.024 0.961
-0.218 -2.585 0.631
0.000 0.000 0.000
3.043 -3.110 -0.390
0.770 -0.549 -1.982
```

=====

(11)
Re2AsPt | PBE | relaxed

Results
- mass density (g/cm³) = 17.0
- total magnetic moment (μB/cell) = 0.000
- calculated volume (Å³ per atom) = 15.65
- Fermi-level density of states (states/eV per atom) = 0.8972
- DFT total energy (eV per atom) = -8.66

Structure (POSCAR):
```
Re2AsPt
1.0
2.857 0.000 0.000
0.000 3.886 0.000
0.000 0.000 5.641
Re As Pt
2 1 1
Cartesian
1.428 1.943 1.300
0.000 0.000 0.160
0.000 0.000 2.770
1.428 1.943 4.232
```

=====

(12)
CdTcPdBr2 | PBE | relaxed

Results
- mass density (g/cm³) = 5.0
- total magnetic moment (μB/cell) = 4.668
- calculated volume (Å³ per atom) = 31.70
- Fermi-level density of states (states/eV per atom) = 0.4848
- formation energy from raw total energies (kJ/mol of formula units) = 557
- DFT total energy (eV per atom) = -2.81

Structure (POSCAR):
```
CdTcPdBr2
1.0
-1.020 3.718 -3.678
-5.141 0.645 2.077
1.808 3.767 3.306
Tc Br Pd Cd
1 2 1 1
Cartesian
-2.571 0.322 1.039
0.904 1.883 1.653
-0.510 1.859 -1.839
-2.176 4.065 0.853
0.000 0.000 0.000
```